DFT (PBE-GGA) results for an optimized crystal structure of Ti3BiS.

Output
Magnetization: 6.83 μB per cell
E: -5.2063 eV/atom
E above lowest polymorph: 8.323 eV/f.u.
Energy relative to the elements, uncorrected: 1.13 eV/atom

Cell and atoms, written as CIF:
```
data_Ti3BiS
_chemical_formula_sum 'Ti3 Bi1 S1'
_cell_length_a 5.2649
_cell_length_b 5.2649
_cell_length_c 5.2649
_cell_angle_alpha 90.00
_cell_angle_beta 90.00
_cell_angle_gamma 90.00
_space_group_name_H-M_alt 'P m -3 m'
_space_group_IT_number 221
_space_group_name_Hall '-P 4 2 3'
loop_
_atom_site_label
_atom_site_fract_x
_atom_site_fract_y
_atom_site_fract_z
_atom_site_occupancy
Ti1 0.0000 0.0000 0.5000 1
Bi1 0.0000 0.0000 0.0000 1
S1 0.5000 0.5000 0.5000 1
```


DFT (PBE-GGA) results for an optimized crystal structure of Ac2HoPd.

Output
Formation enthalpy at 0 K: -0.29 eV/atom
Magnetization: 0.00 μB per cell
E: -4.7836 eV/atom
E above lowest polymorph: 0.000 eV/f.u.

Cell and atoms, written as CIF:
```
data_Ac2HoPd
_chemical_formula_sum 'Ac2 Ho1 Pd1'
_cell_length_a 3.9013
_cell_length_b 3.9013
_cell_length_c 8.6695
_cell_angle_alpha 90.00
_cell_angle_beta 90.00
_cell_angle_gamma 90.00
_space_group_name_H-M_alt 'P 4/m m m'
_space_group_IT_number 123
_space_group_name_Hall '-P 4 2'
loop_
_atom_site_label
_atom_site_fract_x
_atom_site_fract_y
_atom_site_fract_z
_atom_site_occupancy
Ac1 0.0000 0.0000 0.2080 1
Ho1 0.5000 0.5000 0.5000 1
Pd1 0.5000 0.5000 0.0000 1
```


DFT (PBE-GGA) results for an optimized crystal structure of PmNd2Cl8.

Output
Magnetization: 2.12 μB per cell
E: -4.6894 eV/atom
Energy relative to the elements, uncorrected: -2.05 eV/atom

Cell and atoms, written as CIF:
```
data_PmNd2Cl8
_chemical_formula_sum 'Pm2 Nd4 Cl16'
_cell_length_a 8.5032
_cell_length_b 12.5000
_cell_length_c 5.4742
_cell_angle_alpha 90.00
_cell_angle_beta 107.77
_cell_angle_gamma 90.00
_space_group_name_H-M_alt 'C 1 2/m 1'
_space_group_IT_number 12
loop_
_space_group_symop_operation_xyz
'x,y,z'
'-x,-y,-z'
'-x,y,-z'
'x,-y,z'
'x+1/2,y+1/2,z'
'-x+1/2,-y+1/2,-z'
'-x+1/2,y+1/2,-z'
'x+1/2,-y+1/2,z'
loop_
_atom_site_label
_atom_site_fract_x
_atom_site_fract_y
_atom_site_fract_z
_atom_site_occupancy
Pm1 0.0000 0.0000 0.0000 1
Nd1 0.0000 0.3156 0.5000 1
Cl1 0.0000 0.2296 0.0000 1
Cl2 0.1381 0.5000 0.8240 1
Cl3 0.1947 0.1273 0.5766 1
```


DFT (PBE-GGA) results for an optimized crystal structure of LaCrCu2S.

Output
Magnetization: 0.00 μB per cell
E: -5.5262 eV/atom
Energy relative to the elements, uncorrected: -0.15 eV/atom

Cell and atoms, written as CIF:
```
data_LaCrCu2S
_chemical_formula_sum 'La1 Cr1 Cu2 S1'
_cell_length_a 4.6447
_cell_length_b 4.6447
_cell_length_c 4.2967
_cell_angle_alpha 90.00
_cell_angle_beta 90.00
_cell_angle_gamma 90.00
_space_group_name_H-M_alt 'P 4/m m m'
_space_group_IT_number 123
_space_group_name_Hall '-P 4 2'
loop_
_atom_site_label
_atom_site_fract_x
_atom_site_fract_y
_atom_site_fract_z
_atom_site_occupancy
La1 0.0000 0.0000 0.0000 1
Cr1 0.5000 0.5000 0.5000 1
Cu1 0.0000 0.5000 0.5000 1
S1 0.5000 0.5000 0.0000 1
```


DFT (PBE-GGA) results for an optimized crystal structure of BaNaLi2Cd.

Output
Formation enthalpy at 0 K: 0.02 eV/atom
Magnetization: 0.00 μB per cell
E: -1.5776 eV/atom

Cell and atoms, written as CIF:
```
data_BaNaLi2Cd
_chemical_formula_sum 'Ba1 Na1 Li2 Cd1'
_cell_length_a 5.4437
_cell_length_b 5.4437
_cell_length_c 5.7331
_cell_angle_alpha 90.00
_cell_angle_beta 90.00
_cell_angle_gamma 90.00
_space_group_name_H-M_alt 'P 4/m m m'
_space_group_IT_number 123
_space_group_name_Hall '-P 4 2'
loop_
_atom_site_label
_atom_site_fract_x
_atom_site_fract_y
_atom_site_fract_z
_atom_site_occupancy
Ba1 0.0000 0.0000 0.0000 1
Na1 0.5000 0.5000 0.0000 1
Li1 0.0000 0.5000 0.5000 1
Cd1 0.5000 0.5000 0.5000 1
```


DFT (PBE-GGA) results for an optimized crystal structure of Fe2As8Rh.

Output
Formation enthalpy at 0 K: 0.04 eV/atom
Magnetization: 0.00 μB per cell
E: -5.5524 eV/atom

Cell and atoms, written as CIF:
```
data_Fe2As8Rh
_chemical_formula_sum 'Fe4 As16 Rh2'
_cell_length_a 13.0240
_cell_length_b 7.5879
_cell_length_c 4.4774
_cell_angle_alpha 90.00
_cell_angle_beta 100.41
_cell_angle_gamma 90.00
_space_group_name_H-M_alt 'C 1 2/m 1'
_space_group_IT_number 12
loop_
_space_group_symop_operation_xyz
'x,y,z'
'-x,-y,-z'
'-x,y,-z'
'x,-y,z'
'x+1/2,y+1/2,z'
'-x+1/2,-y+1/2,-z'
'-x+1/2,y+1/2,-z'
'x+1/2,-y+1/2,z'
loop_
_atom_site_label
_atom_site_fract_x
_atom_site_fract_y
_atom_site_fract_z
_atom_site_occupancy
Fe1 0.1856 0.0000 0.2986 1
As1 0.0747 0.2461 0.2424 1
As2 0.1338 0.5000 0.6098 1
As3 0.1825 0.0000 0.8014 1
Rh1 0.0000 0.0000 0.5000 1
```


DFT (PBE-GGA) results for an optimized crystal structure of Be2AlFe.

Output
Formation enthalpy at 0 K: -0.01 eV/atom
Magnetization: 0.00 μB per cell
E: -4.9270 eV/atom

Cell and atoms, written as CIF:
```
data_Be2AlFe
_chemical_formula_sum 'Be8 Al4 Fe4'
_cell_length_a 5.4722
_cell_length_b 5.4722
_cell_length_c 5.4722
_cell_angle_alpha 90.00
_cell_angle_beta 90.00
_cell_angle_gamma 90.00
_space_group_name_H-M_alt 'F -4 3 m'
_space_group_IT_number 216
_space_group_name_Hall 'F -4 2 3'
loop_
_atom_site_label
_atom_site_fract_x
_atom_site_fract_y
_atom_site_fract_z
_atom_site_occupancy
Be1 0.0000 0.0000 0.0000 1
Be2 0.2500 0.2500 0.2500 1
Al1 0.0000 0.0000 0.5000 1
Fe1 0.2500 0.2500 0.7500 1
```


DFT (PBE-GGA) results for an optimized crystal structure of MgNbTeN2.

Output
Magnetization: 0.00 μB per cell
E: -4.8932 eV/atom
E above lowest polymorph: 6.702 eV/f.u.
Energy relative to the elements, uncorrected: 1.40 eV/atom

Cell and atoms, written as CIF:
```
data_MgNbTeN2
_chemical_formula_sum 'Mg1 Nb1 Te1 N2'
_cell_length_a 4.0023
_cell_length_b 4.0023
_cell_length_c 5.3208
_cell_angle_alpha 90.00
_cell_angle_beta 90.00
_cell_angle_gamma 90.00
_space_group_name_H-M_alt 'P 4/m m m'
_space_group_IT_number 123
_space_group_name_Hall '-P 4 2'
loop_
_atom_site_label
_atom_site_fract_x
_atom_site_fract_y
_atom_site_fract_z
_atom_site_occupancy
Mg1 0.0000 0.0000 0.0000 1
Nb1 0.5000 0.5000 0.5000 1
Te1 0.0000 0.0000 0.5000 1
N1 0.0000 0.5000 0.0000 1
```


DFT (PBE-GGA) results for an optimized crystal structure of BaHoCd2.

Output
Formation enthalpy at 0 K: -0.29 eV/atom
Magnetization: 0.00 μB per cell
E: -2.3686 eV/atom
E above lowest polymorph: 0.000 eV/f.u.

Cell and atoms, written as CIF:
```
data_BaHoCd2
_chemical_formula_sum 'Ba1 Ho1 Cd2'
_cell_length_a 3.9100
_cell_length_b 3.9100
_cell_length_c 8.1906
_cell_angle_alpha 90.00
_cell_angle_beta 90.00
_cell_angle_gamma 90.00
_space_group_name_H-M_alt 'P 4/m m m'
_space_group_IT_number 123
_space_group_name_Hall '-P 4 2'
loop_
_atom_site_label
_atom_site_fract_x
_atom_site_fract_y
_atom_site_fract_z
_atom_site_occupancy
Ba1 0.0000 0.0000 0.0000 1
Ho1 0.0000 0.0000 0.5000 1
Cd1 0.5000 0.5000 0.2987 1
```


DFT (PBE-GGA) results for an optimized crystal structure of CsRb2PrBr6.

Output
Magnetization: 0.00 μB per cell
E: -3.6021 eV/atom
Energy relative to the elements, uncorrected: -1.84 eV/atom

Cell and atoms, written as CIF:
```
data_CsRb2PrBr6
_chemical_formula_sum 'Cs2 Rb4 Pr2 Br12'
_cell_length_a 8.3639
_cell_length_b 8.9494
_cell_length_c 14.3909
_cell_angle_alpha 90.00
_cell_angle_beta 124.09
_cell_angle_gamma 90.00
_space_group_name_H-M_alt 'P 1 21/c 1'
_space_group_IT_number 14
loop_
_space_group_symop_operation_xyz
'x,y,z'
'-x,-y,-z'
'-x,y+1/2,-z+1/2'
'x,-y+1/2,z+1/2'
loop_
_atom_site_label
_atom_site_fract_x
_atom_site_fract_y
_atom_site_fract_z
_atom_site_occupancy
Cs1 0.0000 0.0000 0.0000 1
Rb1 0.2092 0.0767 0.7407 1
Pr1 0.5000 0.0000 0.5000 1
Br1 0.1582 0.1735 0.4382 1
Br2 0.2553 0.7307 0.4118 1
Br3 0.4248 0.0707 0.2794 1
```


DFT (PBE-GGA) results for an optimized crystal structure of Hf3Se3S.

Output
Magnetization: 0.00 μB per cell
E: -7.4026 eV/atom
Energy relative to the elements, uncorrected: -1.05 eV/atom

Cell and atoms, written as CIF:
```
data_Hf3Se3S
_chemical_formula_sum 'Hf12 Se12 S4'
_cell_length_a 8.3559
_cell_length_b 14.4603
_cell_length_c 5.2664
_cell_angle_alpha 90.00
_cell_angle_beta 90.00
_cell_angle_gamma 90.00
_space_group_name_H-M_alt 'C m c m'
_space_group_IT_number 63
_space_group_name_Hall '-C 2c 2'
loop_
_atom_site_label
_atom_site_fract_x
_atom_site_fract_y
_atom_site_fract_z
_atom_site_occupancy
Hf1 0.0000 0.1549 0.2500 1
Hf2 0.2331 0.0776 0.7500 1
Se1 0.0000 0.1989 0.7500 1
Se2 0.2011 0.4005 0.7500 1
S1 0.0000 0.3331 0.2500 1
```


DFT (PBE-GGA) results for an optimized crystal structure of CaPrSmTl.

Output
Formation enthalpy at 0 K: -0.11 eV/atom
Magnetization: 0.00 μB per cell
E: -3.5771 eV/atom

Cell and atoms, written as CIF:
```
data_CaPrSmTl
_chemical_formula_sum 'Ca4 Pr4 Sm4 Tl4'
_cell_length_a 7.9703
_cell_length_b 7.9703
_cell_length_c 7.9703
_cell_angle_alpha 90.00
_cell_angle_beta 90.00
_cell_angle_gamma 90.00
_space_group_name_H-M_alt 'F -4 3 m'
_space_group_IT_number 216
_space_group_name_Hall 'F -4 2 3'
loop_
_atom_site_label
_atom_site_fract_x
_atom_site_fract_y
_atom_site_fract_z
_atom_site_occupancy
Ca1 0.0000 0.0000 0.0000 1
Pr1 0.2500 0.2500 0.7500 1
Sm1 0.2500 0.2500 0.2500 1
Tl1 0.0000 0.0000 0.5000 1
```